Entry from Alexandria: LaDyYTe3 after structural relaxation (PBE-GGA).

Total DFT energy (no corrections) ... -33.2 eV/f.u.

Cell and atoms, written as POSCAR:
```
LaDyYTe3
1.0
8.6090 0.0000 0.0000
0.0000 4.3511 0.0000
-2.9942 0.0000 10.4475
La Dy Y Te
2 2 2 6
Direct
0.1865 0.2500 0.2180
0.8135 0.7500 0.7820
0.3373 0.7500 0.9066
0.6627 0.2500 0.0934
0.1549 0.2500 0.6225
0.8451 0.7500 0.3775
0.0914 0.2500 0.8935
0.2246 0.7500 0.4522
0.4815 0.7500 0.2013
0.5185 0.2500 0.7987
0.7754 0.2500 0.5478
0.9086 0.7500 0.1065
```